A plane-wave DFT calculation with GGA-PBE was carried out for crystalline Ca2SmS3 at its relaxed geometry.

Cell and atoms, written as extended XYZ:
```
24
Lattice="0.000 5.686 12.053 4.025 0.000 12.053 4.025 5.686 0.000" Properties=species:S:1:pos:R:3 pbc="T T T"
Ca 1.006 1.421 1.009
Ca 3.019 4.264 3.009
Ca 1.006 1.421 5.017
Ca 5.032 7.107 9.036
Ca 3.019 4.264 15.070
Ca 7.044 9.950 19.089
Ca 5.032 7.107 21.097
Ca 7.044 9.950 23.097
Sm 3.019 4.264 7.037
Sm 3.019 4.264 11.042
Sm 5.032 7.107 13.064
Sm 5.032 7.107 17.068
S 3.021 1.421 7.032
S 5.033 4.264 9.040
S 3.017 1.421 11.047
S 5.030 4.264 13.058
S 7.046 7.107 15.066
S 5.034 4.264 17.074
S 3.017 7.107 7.032
S 1.005 4.264 9.040
S 3.021 7.107 11.047
S 5.034 9.950 13.058
S 3.017 7.107 15.066
S 5.030 9.950 17.074
```

Values from the calculation:
* total magnetization: 0.000 μB per atom
* SG: Fddd
* N(E_F): 0.22 states/eV/atom
* formation energy (no corrections): -2084 meV/atom
* excess energy over the best structure of this formula in the dataset: 0 meV/atom